Entry 1:
The following is a DFT calculation (GGA-PBE) of an optimized crystal structure of CuC.

Cell lengths 3.916, 3.273, 3.650 Å; angles 63.38, 90.00, 90.00 degrees
Atoms (fractional coordinates):
C 0.000 0.065 0.996
C 0.500 0.685 0.754
Cu 0.000 0.755 0.614
Cu 0.500 0.995 0.136

The calculation puts the energy above the most stable polymorph in this dataset at 1358 meV per atom. As for the space group: Cmcm. Its formation energy is 3.16 eV per formula unit. Its size of the total moment is 0.00 μB per cell.

Entry 2:
The following is a DFT calculation (GGA-PBE) of an optimized crystal structure of PrDy2Ga.

Cell lengths 3.640, 3.640, 10.546 Å; angles 80.06, 80.06, 60.00 degrees
Atoms (fractional coordinates):
Pr 0.500 0.500 0.499
Dy 0.069 0.069 0.793
Dy 0.264 0.264 0.207
Ga 0.666 0.666 0.001

The calculation puts the energy above the most stable polymorph in this dataset at 92 meV per atom. As for the space group: R3m. Its formation energy is -0.77 eV per formula unit. Its size of the total moment is 0.00 μB per cell.

Entry 3:
The following is a DFT calculation (GGA-PBE) of an optimized crystal structure of Cs2NaClF6.

Cell lengths 6.667, 6.667, 6.360 Å; angles 58.39, 58.39, 90.00 degrees
Last column: magnetic moment on the atom in μB.
Atoms (fractional coordinates):
Cs 0.750 0.250 0.500  0.00
Cs 0.250 0.750 0.500  0.00
Na 0.500 0.500 0.000  0.01
F 0.211 0.211 0.579  0.06
F 0.789 0.789 0.421  0.06
F 0.256 0.256 0.000  0.24
F 0.744 0.744 0.000  0.24
F 0.744 0.256 0.000  0.24
F 0.256 0.744 0.000  0.24
Cl 0.000 0.000 0.000  0.74

As for the space group: I4/mmm. The value obtained for the uncorrected formation energy is -1.828 eV per atom. Its size of the total moment is 2.00 μB per cell.

Entry 4:
The following is a DFT calculation (GGA-PBE) of an optimized crystal structure of InGeO3.

Cell lengths 3.364, 5.453, 5.453 Å; angles 116.89, 90.00, 90.00 degrees
Atoms (fractional coordinates):
In 0.000 0.422 0.578
Ge 0.500 0.083 0.917
O 0.500 0.230 0.291
O 0.500 0.709 0.770
O 0.000 0.184 0.816

As for the space group: Amm2. The value obtained for the uncorrected formation energy is -1.359 eV per atom. Its size of the total moment is 0.00 μB per cell.